LaMgSbOs: relaxed, GGA-PBE.

Values from the calculation:
Electronic total energy, eV for the cell shown: -86.00
ΔE to the lowest computed polymorph, eV per atom: 0.1218

CIF file:
```
data_LaMgSbOs
_chemical_formula_sum 'La4 Mg4 Sb4 Os4'
_cell_length_a 7.122
_cell_length_b 7.122
_cell_length_c 7.122
_cell_angle_alpha 90.00
_cell_angle_beta 90.00
_cell_angle_gamma 90.00
_space_group_name_H-M_alt 'F -4 3 m'
_space_group_IT_number 216
_space_group_name_Hall 'F -4 2 3'
loop_
_atom_site_label
_atom_site_fract_x
_atom_site_fract_y
_atom_site_fract_z
La1 0.000 0.000 0.000
Mg1 0.000 0.000 0.500
Sb1 0.250 0.250 0.750
Os1 0.250 0.250 0.250
```